Computed, not measured: a geometry-optimized Ca2Cd5Au4 structure at the GGA-PBE level of DFT.

Calculated values
Crystal system: orthorhombic
Calculated formation energy (eV/atom): -0.3316

abc: 5.7423 12.0743 16.1392
angles: 90.00 90.00 90.00
With the nearest neighbours (Å) after each atom.
Space group Fmmm (No. 69)
Inequivalent atoms, fractional coordinates:
Ca 0.0000 0.0000 0.1691  6 Au 3.25-3.40, 4 Cd 3.59
Cd 0.0000 0.0000 0.5000  4 Au 2.69
Cd 0.2500 0.2500 0.0000  2 Cd 2.87, 4 Au 3.10
Cd 0.2500 0.2500 0.2500  4 Au 2.76, 2 Cd 2.87
Au 0.0000 0.1207 0.3596  3 Cd 2.69-2.76, 1 Au 2.91

Computed, not measured: a geometry-optimized SrSc2CdC structure at the GGA-PBE level of DFT.

Calculated values
Crystal system: tetragonal
Calculated formation energy (eV/atom): -0.1468

abc: 4.5826 4.5826 5.4798
angles: 90.00 90.00 90.00
With the nearest neighbours (Å) after each atom.
Space group P4/mmm (No. 123)
Inequivalent atoms, fractional coordinates:
Sr 0.0000 0.0000 0.0000  2 C 2.74
Sc 0.0000 0.5000 0.5000  2 C 2.29
Cd 0.5000 0.5000 0.0000  4 Sr 3.24, 8 Sc 3.57
C 0.0000 0.0000 0.5000  4 Sc 2.29

Computed, not measured: a geometry-optimized MgTcAg3 structure at the GGA-PBE level of DFT.

Calculated values
Crystal system: cubic
Offset from the most stable computed form (eV/atom): 0.000
Calculated formation energy (eV/atom): 1.2098

abc: 5.1136 5.1136 5.1136
angles: 90.00 90.00 90.00
With the nearest neighbours (Å) after each atom.
Space group Pm-3m (No. 221)
Inequivalent atoms, fractional coordinates:
Mg 0.0000 0.0000 0.0000  12 Ag 3.62
Tc 0.5000 0.5000 0.5000  6 Ag 2.56
Ag 0.0000 0.5000 0.5000  2 Tc 2.56

Computed, not measured: a geometry-optimized PPbAuS2 structure at the GGA-PBE level of DFT.

Calculated values
Crystal system: tetragonal
Offset from the most stable computed form (eV/atom): 0.000
Formation energy (no corrections) (eV/atom): 0.51

abc: 5.3182 5.3182 4.6618
angles: 90.00 90.00 90.00
With the nearest neighbours (Å) after each atom.
Space group P4/mmm (No. 123)
Inequivalent atoms, fractional coordinates:
P 0.0000 0.0000 0.0000  2 Au 2.33
Pb 0.5000 0.5000 0.0000  8 S 3.54, 4 P 3.76
Au 0.0000 0.0000 0.5000  2 P 2.33
S 0.0000 0.5000 0.5000  2 Au 2.66

Computed, not measured: a geometry-optimized U3TiS6 structure at the GGA-PBE level of DFT.

Calculated values
Crystal system: trigonal
Offset from the most stable computed form (eV/atom): 0.000
Formation energy (no corrections) (eV/atom): -1.36

abc: 11.6358 11.6358 11.0417
angles: 90.00 90.00 120.00
With the nearest neighbours (Å) after each atom.
Space group R-3 (No. 148, hexagonal axes)
Inequivalent atoms, fractional coordinates:
U 0.0511 0.2819 0.1504  7 S 2.71-2.94
Ti 0.0000 0.0000 0.0000  6 S 2.50
Ti 0.0000 0.0000 0.5000  6 S 2.44
S 0.0328 0.2040 0.8943  1 Ti 2.50, 2 U 2.71-2.73
S 0.0528 0.1970 0.3806  1 Ti 2.44, 2 U 2.71-2.73

Computed, not measured: a geometry-optimized Cs2NbSiBr6 structure at the GGA-PBE level of DFT.

Calculated values
Crystal system: cubic
Formation energy (no corrections) (eV/atom): -0.92

abc: 11.0350 11.0350 11.0350
angles: 90.00 90.00 90.00
With the nearest neighbours (Å) after each atom.
Space group Fm-3m (No. 225)
Inequivalent atoms, fractional coordinates:
Cs 0.2500 0.2500 0.2500  12 Br 3.90
Nb 0.0000 0.0000 0.0000  6 Br 2.75
Si 0.0000 0.0000 0.5000  6 Br 2.77
Br 0.0000 0.0000 0.2491  1 Nb 2.75, 1 Si 2.77

Computed, not measured: a geometry-optimized Pr3Ho2Th structure at the GGA-PBE level of DFT.

Calculated values
Crystal system: monoclinic
Offset from the most stable computed form (eV/atom): 0.000
Calculated formation energy (eV/atom): 0.0517

abc: 22.2296 3.6462 11.8263
angles: 90.00 121.52 90.00
With the nearest neighbours (Å) after each atom.
Space group C2/m (No. 12)
Inequivalent atoms, fractional coordinates:
Pr 0.0579 0.0000 0.4242  2 Th 3.59, 1 Ho 3.61, 9 Pr 3.65-3.83
Pr 0.1129 0.5000 0.7402  5 Ho 3.53-3.67, 7 Pr 3.65-3.74
Pr 0.2310 0.5000 0.6122  3 Th 3.54-3.91, 2 Ho 3.59, 7 Pr 3.65-3.76
Ho 0.0550 0.0000 0.9328  4 Th 3.52-3.60, 5 Ho 3.54-3.65, 3 Pr 3.61-3.64
Ho 0.2192 0.5000 0.0895  5 Pr 3.53-3.67, 6 Ho 3.56-3.65, 1 Th 3.57
Th 0.1089 0.5000 0.2254  5 Ho 3.52-3.60, 5 Pr 3.54-3.91, 2 Th 3.65

Computed, not measured: a geometry-optimized Y12ThSc7 structure at the GGA-PBE level of DFT.

Calculated values
Crystal system: trigonal
Calculated formation energy (eV/atom): 0.1735

abc: 13.9884 13.9884 10.6734
angles: 90.00 90.00 120.00
With the nearest neighbours (Å) after each atom.
Space group R-3 (No. 148, hexagonal axes)
Inequivalent atoms, fractional coordinates:
Y 0.0006 0.2475 0.4810  5 Y 3.34-3.64, 3 Sc 3.38-3.49, 1 Th 3.46
Y 0.0736 0.5718 0.6144  5 Y 3.18-3.42, 4 Sc 3.23-3.48
Th 0.0000 0.0000 0.5000  6 Sc 3.35, 6 Y 3.46
Sc 0.0000 0.0000 0.0000  6 Y 3.23, 6 Sc 3.30
Sc 0.0595 0.8978 0.2471  3 Sc 3.30-3.43, 1 Th 3.35, 6 Y 3.38-3.49

Computed, not measured: a geometry-optimized AcGeBi2O8 structure at the GGA-PBE level of DFT.

Calculated values
Crystal system: trigonal
Formation energy (no corrections) (eV/atom): -1.26

abc: 5.0814 5.0814 7.5429
angles: 90.00 90.00 120.00
With the nearest neighbours (Å) after each atom.
Space group P-3m1 (No. 164)
Inequivalent atoms, fractional coordinates:
Ac 0.0000 0.0000 0.0000  12 O 2.87-2.96
Ge 0.0000 0.0000 0.5000  6 O 1.90
Bi 0.3333 0.6667 0.3224  1 O 2.04
O 0.1599 0.3198 0.6689  1 Ge 1.90
O 0.3333 0.6667 0.0517  1 Bi 2.04

Computed, not measured: a geometry-optimized SrSc2In2 structure at the GGA-PBE level of DFT.

Calculated values
Crystal system: tetragonal
Offset from the most stable computed form (eV/atom): 0.000
Calculated formation energy (eV/atom): -0.3121

abc: 8.9590 8.9590 3.2922
angles: 90.00 90.00 90.00
With the nearest neighbours (Å) after each atom.
Space group P4/mbm (No. 127)
Inequivalent atoms, fractional coordinates:
Sr 0.0000 0.0000 0.0000  2 Sr 3.29, 4 Sc 3.57
Sc 0.1201 0.3799 0.0000  3 Sc 3.04-3.29, 6 In 3.06-3.16
In 0.1759 0.6759 0.5000  6 Sc 3.06-3.16, 2 In 3.29

Computed, not measured: a geometry-optimized U4Bi structure at the GGA-PBE level of DFT.

Calculated values
Crystal system: monoclinic
Offset from the most stable computed form (eV/atom): 0.000
Calculated formation energy (eV/atom): 0.0827

abc: 9.5187 4.7062 5.4902
angles: 90.00 116.43 90.00
With the nearest neighbours (Å) after each atom.
Space group C2/m (No. 12)
Inequivalent atoms, fractional coordinates:
U 0.1218 0.0000 0.2257  3 U 2.53-2.66
U 0.2348 0.5000 0.1680  3 U 2.66-2.98
Bi 0.0000 0.5000 0.5000  14 U 3.23-3.46

Computed, not measured: a geometry-optimized InSi2F structure at the GGA-PBE level of DFT.

Calculated values
Crystal system: cubic
Offset from the most stable computed form (eV/atom): 0.354
Formation energy (no corrections) (eV/atom): -0.04

abc: 6.4532 6.4532 6.4532
angles: 90.00 90.00 90.00
With the nearest neighbours (Å) after each atom.
Space group Fm-3m (No. 225)
Inequivalent atoms, fractional coordinates:
In 0.0000 0.0000 0.0000  8 Si 2.79
Si 0.2500 0.2500 0.2500  4 F 2.79, 4 In 2.79
F 0.0000 0.0000 0.5000  8 Si 2.79

no.,spin magnetization (μB per atom)
1,0.00
2,0.00
3,0.57
4,0.12
5,0.80
6,0.30
7,0.00
8,0.00
9,0.25
10,0.12
11,0.00
12,0.00